1.
Compound: Tb9YTm2
Source: Alexandria via LeMat-Bulk
Functional: GGA-PBE
Structure: relaxed

Calculated volume in A^3/atom: 31.64
ΔE_f in meV per atom: 21
E in eV/atom: -4.736
Total magnetic moment in μB per atom: 0.00

Cell lengths 5.0210, 5.0210, 15.0618 Å; angles 90.00, 90.00, 90.00 degrees
With the nearest neighbours (Å) after each atom.
Atoms (fractional coordinates):
Tb: 0.0000 0.0000 0.0000  4 Y 3.55, 8 Tb 3.57
Tb: 0.0000 0.0000 0.3341  8 Tb 3.54, 4 Tm 3.55
Tb: 0.0000 0.0000 0.6659  8 Tb 3.54, 4 Tm 3.55
Tb: 0.0000 0.5000 0.1681  2 Tm 3.54, 8 Tb 3.54-3.57, 2 Y 3.57
Tb: 0.0000 0.5000 0.5000  8 Tb 3.54-3.55, 4 Tm 3.54
Tb: 0.0000 0.5000 0.8319  2 Tm 3.54, 8 Tb 3.54-3.57, 2 Y 3.57
Tb: 0.5000 0.0000 0.1681  2 Tm 3.54, 8 Tb 3.54-3.57, 2 Y 3.57
Tb: 0.5000 0.0000 0.5000  8 Tb 3.54-3.55, 4 Tm 3.54
Tb: 0.5000 0.0000 0.8319  2 Tm 3.54, 8 Tb 3.54-3.57, 2 Y 3.57
Y: 0.5000 0.5000 0.0000  12 Tb 3.55-3.57
Tm: 0.5000 0.5000 0.3340  12 Tb 3.54-3.55
Tm: 0.5000 0.5000 0.6660  12 Tb 3.54-3.55

---

2.
Compound: ScTl
Source: Alexandria via LeMat-Bulk
Functional: GGA-PBE
Structure: relaxed

Calculated volume in A^3/atom: 24.23
ΔE_f in meV per atom: -191
E in eV/atom: -4.540
Total magnetic moment in μB per atom: 0.00

Cell lengths 6.1147, 6.1147, 6.1772 Å; angles 115.16, 115.16, 45.17 degrees
With the nearest neighbours (Å) after each atom.
Atoms (fractional coordinates):
Sc: 0.0000 0.0000 0.0000  6 Tl 3.04-3.09
Sc: 0.3391 0.3391 0.1948  6 Tl 3.02-3.30, 2 Sc 3.30
Sc: 0.6609 0.6609 0.8052  6 Tl 3.02-3.30, 2 Sc 3.30
Tl: 0.0000 0.0000 0.5000  6 Sc 3.04-3.09, 2 Tl 3.38
Tl: 0.3336 0.3336 0.7019  6 Sc 3.02-3.30, 3 Tl 3.31-3.38
Tl: 0.6664 0.6664 0.2981  6 Sc 3.02-3.30, 3 Tl 3.31-3.38

---

3.
Compound: Ac5Pm4Pr2
Source: Alexandria via LeMat-Bulk
Functional: GGA-PBE
Structure: relaxed

Calculated volume in A^3/atom: 40.14
ΔE_f in meV per atom: 139
E in eV/atom: -4.325
Total magnetic moment in μB per atom: 0.00

Cell lengths 9.3660, 3.7269, 12.6617 Å; angles 90.00, 92.35, 90.00 degrees
With the nearest neighbours (Å) after each atom.
Atoms (fractional coordinates):
Ac: 0.0000 0.0000 0.0000  2 Pr 3.57, 4 Ac 3.59-3.73, 4 Pm 3.91
Ac: 0.1986 0.0000 0.5245  4 Ac 3.70-3.75, 6 Pm 3.82-3.92
Ac: 0.2776 0.0000 0.8133  2 Pr 3.54-3.91, 4 Ac 3.59-3.73, 4 Pm 3.80-3.90
Ac: 0.7224 0.0000 0.1867  2 Pr 3.54-3.91, 4 Ac 3.59-3.73, 4 Pm 3.80-3.90
Ac: 0.8014 0.0000 0.4755  4 Ac 3.70-3.75, 6 Pm 3.82-3.92
Pm: 0.0760 0.5000 0.2682  3 Pm 3.73-3.76, 2 Pr 3.76, 6 Ac 3.87-3.91
Pm: 0.4639 0.5000 0.3569  2 Pr 3.65, 4 Pm 3.66-3.76, 6 Ac 3.80-3.92
Pm: 0.5361 0.5000 0.6431  2 Pr 3.65, 4 Pm 3.66-3.76, 6 Ac 3.80-3.92
Pm: 0.9240 0.5000 0.7318  3 Pm 3.73-3.76, 2 Pr 3.76, 6 Ac 3.87-3.91
Pr: 0.3523 0.0000 0.1194  3 Ac 3.54-3.91, 4 Pm 3.65-3.76, 2 Pr 3.73
Pr: 0.6477 0.0000 0.8806  3 Ac 3.54-3.91, 4 Pm 3.65-3.76, 2 Pr 3.73

---

4.
Compound: Tl2FeAs
Source: Alexandria via LeMat-Bulk
Functional: GGA-PBE
Structure: relaxed

Calculated volume in A^3/atom: 22.09
ΔE_f in meV per atom: 592
Offset from the most stable computed form in kJ per mole of atoms: 41.9
E in eV/atom: -3.869
Total magnetic moment in μB per atom: 0.72

Cell lengths 5.3737, 5.3737, 3.1904 Å; angles 90.00, 90.00, 106.45 degrees
With the nearest neighbours (Å) after each atom.
Atoms (fractional coordinates):
Tl: 0.0000 0.5000 0.0000  4 Fe 3.12, 4 As 3.12, 4 Tl 3.19-3.22
Tl: 0.5000 0.0000 0.0000  4 Fe 3.12, 4 As 3.12, 4 Tl 3.19-3.22
Fe: 0.0000 0.0000 0.5000  8 Tl 3.12, 2 Fe 3.19, 2 As 3.22
As: 0.5000 0.5000 0.5000  8 Tl 3.12, 2 As 3.19, 2 Fe 3.22

---

5.
Compound: Ac4Ir2O
Source: Alexandria via LeMat-Bulk
Functional: GGA-PBE
Structure: relaxed

Formation energy (no corrections) in eV per atom: -1.07
Calculated volume in A^3/atom: 28.22
Offset from the most stable computed form in kJ per mole of atoms: 9.1
E in eV/atom: -6.658
Total magnetic moment in μB per atom: 0.00

Cell lengths 8.5054, 8.5054, 8.5054 Å; angles 145.39, 145.39, 49.75 degrees
With the nearest neighbours (Å) after each atom.
Atoms (fractional coordinates):
Ac: 0.0000 0.5000 0.5000  2 O 2.53
Ac: 0.1901 0.1901 0.0000  1 Ir 2.82, 1 O 2.93
Ac: 0.5000 0.0000 0.5000  2 O 2.53
Ac: 0.8099 0.8099 0.0000  1 Ir 2.82, 1 O 2.93
Ir: 0.3729 0.3729 0.0000  1 Ac 2.82
Ir: 0.6271 0.6271 0.0000  1 Ac 2.82
O: 0.0000 0.0000 0.0000  4 Ac 2.53

---

6.
Compound: NaLa2AgRu
Source: Alexandria via LeMat-Bulk
Functional: GGA-PBE
Structure: relaxed

Calculated volume in A^3/atom: 30.99
ΔE_f in meV per atom: 43
Offset from the most stable computed form in kJ per mole of atoms: 5.6
E in eV/atom: -4.617
Total magnetic moment in μB per atom: 0.00

Cell lengths 5.3019, 5.3019, 5.5124 Å; angles 90.00, 90.00, 90.00 degrees
With the nearest neighbours (Å) after each atom.
Atoms (fractional coordinates):
Na: 0.0000 0.0000 0.0000  2 Ru 2.76
La: 0.0000 0.5000 0.5000  2 Ru 2.65
La: 0.5000 0.0000 0.5000  2 Ru 2.65
Ag: 0.5000 0.5000 0.0000  4 Na 3.75, 8 La 3.82
Ru: 0.0000 0.0000 0.5000  4 La 2.65, 2 Na 2.76

---

Question: Look up the calculated volume of the first one.
Answer: 31.64 A^3/atom